Record 1
LiSb5Pt3: optimized geometry, PBE.

```
LiSb5Pt3
1.0
5.6409 0.0000 0.0000
-2.8204 4.8851 0.0000
0.0000 0.0000 8.3087
Li Sb Pt
1 5 3
Cartesian
0.0000 0.0000 0.0000
0.0000 0.0000 4.1543
0.0000 3.2568 1.8131
0.0000 3.2568 6.4956
2.8204 1.6284 1.8131
2.8204 1.6284 6.4956
-1.4102 2.4426 4.1543
2.8204 0.0000 4.1543
1.4102 2.4426 4.1543
```

Properties
As for the uncorrected energy: -41.77 eV/cell.

Record 2
Hf2ScHg: optimized geometry, PBE.

```
Hf2ScHg
1.0
6.9863 0.0000 0.0000
0.0000 6.9863 0.0000
0.0000 0.0000 6.9863
Hf Sc Hg
8 4 4
Cartesian
0.0000 0.0000 0.0000
0.0000 3.4932 3.4932
1.7466 1.7466 1.7466
1.7466 5.2397 5.2397
3.4932 0.0000 3.4932
3.4932 3.4932 0.0000
5.2397 1.7466 5.2397
5.2397 5.2397 1.7466
0.0000 0.0000 3.4932
0.0000 3.4932 0.0000
3.4932 0.0000 0.0000
3.4932 3.4932 3.4932
1.7466 1.7466 5.2397
1.7466 5.2397 1.7466
5.2397 1.7466 1.7466
5.2397 5.2397 5.2397
```

Properties
The calculated formation energy comes out at 0.49 eV/f.u.

no.,size of the total moment (μB per formula unit)
1,0.0
2,2.2